The following is a DFT calculation (PBE with a Hubbard U) of crystalline CaMoPb2O6 at its relaxed geometry.

Calculated values
SG: P2_1/c
Magnetization, μB per formula unit: 0.0
DFT total energy, eV/cell: -127.51

Cell: 5.8288 5.9913 10.1607 Å, 90.00 124.73 90.00°
Fractional positions:
Ca  0.0000  0.0000  0.0000
Ca  0.0000  0.5000  0.5000
Mo  0.5000  0.0000  0.5000
Mo  0.5000  0.5000  0.0000
Pb  0.2402  0.0386  0.7465
Pb  0.2402  0.4614  0.2465
Pb  0.7598  0.5386  0.7535
Pb  0.7598  0.9614  0.2535
O  0.1864  0.1817  0.4600
O  0.1864  0.3183  0.9600
O  0.2739  0.7303  0.4510
O  0.2739  0.7697  0.9510
O  0.3614  0.0300  0.2733
O  0.3614  0.4700  0.7733
O  0.6386  0.5300  0.2267
O  0.6386  0.9700  0.7267
O  0.7261  0.2303  0.0490
O  0.7261  0.2697  0.5490
O  0.8136  0.6817  0.0400
O  0.8136  0.8183  0.5400